VASP calculation (GGA-PBE) on a geometry-optimized CaPmLu4 structure.

total magnetic moment	0.02	μB per formula unit
density of states at the Fermi level	42.5	states/eV per cell
total energy	-23.42	eV/f.u.
ρ	7.299	g cm⁻³

Cell: 9.3037 9.3037 9.3037 Å, 90.00 90.00 90.00°
Last column: nearest neighbours and their distance in Å.
Space group F-43m (No. 216)
Inequivalent atoms, fractional coordinates:
Ca (0.0000, 0.0000, 0.0000) [4 per cell]  12 Lu 3.86, 4 Pm 4.03
Pm (0.2500, 0.2500, 0.2500) [4 per cell]  12 Lu 3.85, 4 Ca 4.03
Lu (0.1240, 0.1240, 0.6240) [16 per cell]  6 Lu 3.26-3.31


VASP calculation (GGA-PBE) on a geometry-optimized HgH2Pd5 structure.

energy above the lowest structure with this stoichiometry	0.537	eV per formula unit
total magnetic moment	0.00	μB per formula unit
density of states at the Fermi level	14.1	states/eV per cell
ρ	11.253	g cm⁻³

Cell: 3.9351 3.9351 14.0033 Å, 90.00 90.00 90.00°
Last column: nearest neighbours and their distance in Å.
Space group I4/mmm (No. 139)
Inequivalent atoms, fractional coordinates:
Hg (0.0000, 0.0000, 0.0000) [2 per cell]  12 Pd 2.78-2.92
H (0.0000, 0.0000, 0.3438) [4 per cell]  5 Pd 1.97-2.19
Pd (0.0000, 0.0000, 0.5000) [2 per cell]  2 H 2.19
Pd (0.0000, 0.5000, 0.1540) [8 per cell]  2 H 1.97


VASP calculation (GGA-PBE) on a geometry-optimized SmThSi3 structure.

total magnetic moment	0.00	μB per formula unit
density of states at the Fermi level	10.8	states/eV per cell
formation energy (no corrections)	-0.6918	eV per atom
ρ	7.214	g cm⁻³

Cell: 4.2875 24.7222 4.0538 Å, 90.00 90.00 90.00°
Last column: nearest neighbours and their distance in Å.
Space group Cmcm (No. 63)
Inequivalent atoms, fractional coordinates:
Sm (0.0000, 0.2015, 0.2500) [4 per cell]  7 Si 2.97-3.05
Th (0.0000, 0.0696, 0.7500) [4 per cell]  12 Si 3.15-3.38
Si (0.0000, 0.3249, 0.2500) [4 per cell]  2 Si 2.46
Si (0.0000, 0.3815, 0.7500) [4 per cell]  3 Si 2.34-2.46
Si (0.0000, 0.4763, 0.7500) [4 per cell]  3 Si 2.34